A plane-wave DFT calculation with GGA-PBE was carried out for a relaxed GaNiSe2N crystal.

a b c (Å): 5.0769 5.0769 3.4023
angles (deg): 90.00 90.00 90.00
Last column: nearest neighbours and their distance in Å.
Element x y z (fractional)
Ga 0.0000 0.0000 0.0000  8 Se 3.06, 2 Ga 3.40
Ni 0.5000 0.5000 0.5000  2 N 1.70
Se 0.0000 0.5000 0.5000  2 Ni 2.54
Se 0.5000 0.0000 0.5000  2 Ni 2.54
N 0.5000 0.5000 0.0000  2 Ni 1.70

## Properties
VASP energy = -4.426 eV/atom
Spin magnetization = 0.000 μB per cell
Formation energy from raw total energies = 394 meV/atom